# RbCd2MoF

An optimized crystal structure of RbCd2MoF (GGA+U, Alexandria via LeMat-Bulk).

The space group is P4/mmm (No. 123) and the conventional cell measures 5.438, 5.438 and 5.048 Å, with angles of 90.00, 90.00 and 90.00 degrees. The asymmetric unit holds Rb at (0.000, 0.000, 0.000), Cd at (0.000, 0.500, 0.500), Mo at (0.500, 0.500, 0.000) and F at (0.000, 0.000, 0.500).

The density of states at the Fermi level is 1.84 states/eV per cell. As for the energy: -12.2 eV/cell.